# TiBi3O7, relaxed, DFT PBE
# SG: No. 20
# Raw formation energy, eV per atom: -1.650
# Energy, eV/atom: -6.581
data_TiBi3O7
_chemical_formula_sum 'Ti2 Bi6 O14'
_symmetry_space_group_name_H-M 'P 1'
_symmetry_Int_Tables_number 1
_symmetry_space_group_name_Hall 'P 1'
_cell_length_a 6.627
_cell_length_b 6.627
_cell_length_c 7.566
_cell_angle_alpha 90.00
_cell_angle_beta 90.00
_cell_angle_gamma 107.41
loop_
_atom_site_label
_atom_site_type_symbol
_atom_site_fract_x
_atom_site_fract_y
_atom_site_fract_z
O1 O 0.302 0.040 0.045
O2 O 0.361 0.639 0.250
O3 O 0.943 0.057 0.250
O4 O 0.960 0.698 0.455
O5 O 0.057 0.943 0.750
O6 O 0.324 0.084 0.467
O7 O 0.916 0.676 0.033
O8 O 0.643 0.357 0.250
O9 O 0.639 0.361 0.750
O10 O 0.698 0.960 0.545
O11 O 0.357 0.643 0.750
O12 O 0.084 0.324 0.533
O13 O 0.040 0.302 0.955
O14 O 0.676 0.916 0.967
Bi1 Bi 0.551 0.551 0.000
Bi2 Bi 0.467 0.000 0.759
Bi3 Bi 0.533 0.000 0.259
Bi4 Bi 0.449 0.449 0.500
Bi5 Bi 0.000 0.533 0.741
Bi6 Bi 0.000 0.467 0.241
Ti1 Ti 0.987 0.987 0.500
Ti2 Ti 0.013 0.013 0.000


# Hf6Ti2Tl, relaxed, DFT PBE
# SG: No. 71
# Energy relative to the elements, meV per atom: 191
# Energy, eV/atom: -8.462
data_Hf6Ti2Tl
_chemical_formula_sum 'Hf12 Ti4 Tl2'
_symmetry_space_group_name_H-M 'P 1'
_symmetry_Int_Tables_number 1
_symmetry_space_group_name_Hall 'P 1'
_cell_length_a 8.008
_cell_length_b 8.008
_cell_length_c 8.008
_cell_angle_alpha 102.34
_cell_angle_beta 114.40
_cell_angle_gamma 111.91
loop_
_atom_site_label
_atom_site_type_symbol
_atom_site_fract_x
_atom_site_fract_y
_atom_site_fract_z
Hf1 Hf 0.486 0.290 0.195
Hf2 Hf 0.716 0.037 0.320
Hf3 Hf 0.716 0.396 0.680
Hf4 Hf 0.794 0.247 0.041
Hf5 Hf 0.284 0.604 0.320
Hf6 Hf 0.905 0.710 0.195
Hf7 Hf 0.794 0.753 0.548
Hf8 Hf 0.095 0.290 0.805
Hf9 Hf 0.206 0.753 0.959
Hf10 Hf 0.514 0.710 0.805
Hf11 Hf 0.284 0.963 0.680
Hf12 Hf 0.206 0.247 0.452
Ti1 Ti 0.355 0.000 0.355
Ti2 Ti 0.645 0.000 0.645
Ti3 Ti 0.500 0.370 0.870
Ti4 Ti 0.500 0.630 0.130
Tl1 Tl 0.000 0.500 0.500
Tl2 Tl 0.000 0.000 0.000